! meta-GGA SCAN Ba2CaH2, PBEsol geometry; values from VASP
! crystal system	tetragonal
! calculated total energy	-97.23	eV per cell
! space-group type	I4/mmm, No. 139
! Fermi-level density of states	3.32	states/eV per cell
&SYSTEM
  ibrav = 0, nat = 5, ntyp = 3
/
ATOMIC_SPECIES
H 1.01 H.upf
Ca 40.08 Ca.upf
Ba 137.33 Ba.upf
ATOMIC_POSITIONS crystal
H 0.250 0.750 0.500
H 0.750 0.250 0.500
Ca 0.000 0.000 0.000
Ba 0.329 0.329 0.658
Ba 0.671 0.671 0.342
CELL_PARAMETERS angstrom
-3.420 -2.042 1.626
2.126 -0.624 3.687
-2.510 9.119 0.480